Here is an optimized crystal structure of Ac2S3 from Alexandria via LeMat-Bulk. Energies are from PBE.

Calculated values
The density of states at the Fermi level comes out at 0.0 states/eV/f.u. Its uncorrected formation energy is -2.17 eV per atom. Its magnetic moment is 0.0000 μB per atom. As for the calculated volume: 27.88 Å³/atom.

The structure in POSCAR format:
```
Ac2S3
1.0
-4.5380 4.5380 13.5380
4.5380 -4.5380 13.5380
4.5380 4.5380 -13.5380
Ac S
16 24
Direct
0.0479 0.1455 0.6168
0.1643 0.1643 0.0000
0.1811 0.7786 0.8832
0.2214 0.1045 0.4024
0.2545 0.6250 0.1295
0.3750 0.5045 0.6295
0.4955 0.1250 0.8705
0.5286 0.4311 0.3832
0.5689 0.9521 0.0976
0.5857 0.0857 0.5000
0.7021 0.8189 0.5976
0.8357 0.8357 0.0000
0.8545 0.4714 0.9024
0.8750 0.7455 0.3705
0.8955 0.2979 0.1168
0.9143 0.4143 0.5000
0.0039 0.7566 0.8944
0.0710 0.4619 0.2444
0.1733 0.9290 0.3909
0.1813 0.4348 0.5828
0.1848 0.4313 0.0828
0.2119 0.3210 0.7444
0.2176 0.8267 0.7556
0.2434 0.1378 0.2473
0.3486 0.1020 0.9172
0.4014 0.8187 0.2534
0.5066 0.2539 0.3944
0.5324 0.7881 0.1091
0.5381 0.7824 0.6091
0.5652 0.1480 0.7466
0.5687 0.6514 0.7534
0.5767 0.4676 0.2556
0.6790 0.4233 0.8909
0.7461 0.1405 0.2527
0.8520 0.5986 0.4172
0.8595 0.1122 0.6056
0.8622 0.1095 0.1056
0.8878 0.4934 0.7473
0.8905 0.9961 0.7527
0.8980 0.8152 0.2466
```